[1]
The following is a PBE calculation of PmMg3Au after structural relaxation, from Alexandria.

The density of states at the Fermi level is 0.61 states/eV per atom. As for the mass density: 4.8 g cm⁻³. The uncorrected energy comes out at -26.5 eV per cell.

Cell lengths 10.0086, 10.0086, 10.0086 Å; angles 147.40, 147.40, 46.77 degrees
With the nearest neighbours (Å) after each atom.
Atoms (fractional coordinates):
Pm (0.1947, 0.1947, 0.0000)  2 Au 2.99
Pm (0.8053, 0.8053, 0.0000)  2 Au 2.99
Mg (0.3757, 0.6224, 0.7533)  2 Au 2.64-2.74, 2 Mg 2.77-2.85
Mg (0.3776, 0.1309, 0.7533)  2 Au 2.64-2.74, 2 Mg 2.77-2.85
Mg (0.3776, 0.6243, 0.2467)  2 Au 2.64-2.74, 2 Mg 2.77-2.85
Mg (0.5414, 0.0414, 0.5000)  2 Au 2.91
Mg (0.8691, 0.6224, 0.2467)  2 Au 2.64-2.74, 2 Mg 2.77-2.85
Mg (0.9586, 0.4586, 0.5000)  2 Au 2.91
Au (0.2500, 0.7500, 0.5000)  4 Mg 2.74, 4 Pm 2.99
Au (0.5000, 0.5000, 0.0000)  8 Mg 2.64-2.91

---

[2]
The following is a PBE calculation of PmPrCdHg after structural relaxation, from Alexandria.

The density of states at the Fermi level is 1.16 states/eV per atom. As for the mass density: 8.7 g cm⁻³. The calculation puts the energy above the most stable polymorph in this dataset at 0.0 meV/atom.

Cell lengths 3.8453, 3.8453, 7.7094 Å; angles 90.00, 90.00, 90.00 degrees
With the nearest neighbours (Å) after each atom.
Atoms (fractional coordinates):
Pm (0.0000, 0.0000, 0.0000)  4 Hg 3.28, 4 Cd 3.31
Pr (0.0000, 0.0000, 0.5038)  4 Hg 3.37, 4 Cd 3.37
Cd (0.5000, 0.5000, 0.2453)  4 Pm 3.31, 4 Pr 3.37
Hg (0.5000, 0.5000, 0.7612)  4 Pm 3.28, 4 Pr 3.37

---

[3]
The following is a PBE calculation of UNb2Pd after structural relaxation, from Alexandria.

The density of states at the Fermi level is 1.20 states/eV per atom. As for the mass density: 12.0 g cm⁻³. The calculation puts the energy above the most stable polymorph in this dataset at 65.4 meV/atom.

Cell lengths 3.4175, 3.4175, 6.2802 Å; angles 90.00, 90.00, 90.00 degrees
With the nearest neighbours (Å) after each atom.
Atoms (fractional coordinates):
U (0.0000, 0.0000, 0.0000)  8 Nb 2.84, 2 Pd 3.14
Nb (0.5000, 0.5000, 0.2386)  4 U 2.84, 4 Pd 2.92, 1 Nb 3.00
Nb (0.5000, 0.5000, 0.7614)  4 U 2.84, 4 Pd 2.92, 1 Nb 3.00
Pd (0.0000, 0.0000, 0.5000)  8 Nb 2.92, 2 U 3.14

---

[4]
The following is a PBE calculation of LiPtIO6 after structural relaxation, from Alexandria.

The density of states at the Fermi level is 0.00 states/eV per atom. As for the mass density: 6.3 g cm⁻³. For the formation energy from raw total energies, the calculation gives -0.66 eV per atom.

Cell lengths 5.2028, 5.2028, 9.5056 Å; angles 90.00, 90.00, 120.00 degrees
With the nearest neighbours (Å) after each atom.
Atoms (fractional coordinates):
Li (0.0000, 0.0000, 0.0000)  6 O 2.28
Li (0.0000, 0.0000, 0.5000)  6 O 2.28
Pt (0.3333, 0.6667, 0.2500)  6 O 2.03
Pt (0.6667, 0.3333, 0.7500)  6 O 2.03
I (0.3333, 0.6667, 0.7500)  6 O 1.94
I (0.6667, 0.3333, 0.2500)  6 O 1.94
O (0.0127, 0.3652, 0.6375)  1 I 1.94, 1 Pt 2.03
O (0.0127, 0.6475, 0.8625)  1 I 1.94, 1 Pt 2.03
O (0.3525, 0.3652, 0.8625)  1 I 1.94, 1 Pt 2.03
O (0.3525, 0.9873, 0.6375)  1 I 1.94, 1 Pt 2.03
O (0.3652, 0.0127, 0.1375)  1 I 1.94, 1 Pt 2.03
O (0.3652, 0.3525, 0.3625)  1 I 1.94, 1 Pt 2.03
O (0.6348, 0.6475, 0.6375)  1 I 1.94, 1 Pt 2.03
O (0.6348, 0.9873, 0.8625)  1 I 1.94, 1 Pt 2.03
O (0.6475, 0.0127, 0.3625)  1 I 1.94, 1 Pt 2.03
O (0.6475, 0.6348, 0.1375)  1 I 1.94, 1 Pt 2.03
O (0.9873, 0.3525, 0.1375)  1 I 1.94, 1 Pt 2.03
O (0.9873, 0.6348, 0.3625)  1 I 1.94, 1 Pt 2.03

---

[5]
The following is a PBE calculation of SrMgAgHg2 after structural relaxation, from Alexandria.

The density of states at the Fermi level is 0.62 states/eV per atom. As for the mass density: 8.0 g cm⁻³. The calculation puts the energy above the most stable polymorph in this dataset at 0.0 meV/atom.

Cell lengths 7.5480, 7.5480, 7.5480 Å; angles 146.66, 146.66, 47.87 degrees
With the nearest neighbours (Å) after each atom.
Atoms (fractional coordinates):
Sr (0.0000, 0.0000, 0.0000)  8 Hg 3.41
Mg (0.7500, 0.2500, 0.5000)  4 Hg 2.91, 4 Ag 3.06
Ag (0.2500, 0.7500, 0.5000)  4 Hg 2.91, 4 Mg 3.06
Hg (0.3914, 0.3914, 0.0000)  2 Mg 2.91, 2 Ag 2.91, 1 Hg 3.00
Hg (0.6086, 0.6086, 0.0000)  2 Mg 2.91, 2 Ag 2.91, 1 Hg 3.00

---

[6]
The following is a PBE calculation of ZrScCd6 after structural relaxation, from Alexandria.

The density of states at the Fermi level is 0.92 states/eV per atom. As for the mass density: 7.7 g cm⁻³. The uncorrected energy comes out at -21.6 eV per cell.

Cell lengths 4.5157, 4.5157, 8.5262 Å; angles 90.00, 90.00, 90.00 degrees
With the nearest neighbours (Å) after each atom.
Atoms (fractional coordinates):
Zr (0.0000, 0.0000, 0.0000)  12 Cd 3.10-3.19
Sc (0.0000, 0.0000, 0.5000)  12 Cd 3.11-3.19
Cd (0.0000, 0.5000, 0.2495)  8 Cd 3.10-3.19, 2 Zr 3.10, 2 Sc 3.11
Cd (0.0000, 0.5000, 0.7505)  8 Cd 3.10-3.19, 2 Zr 3.10, 2 Sc 3.11
Cd (0.5000, 0.0000, 0.2495)  8 Cd 3.10-3.19, 2 Zr 3.10, 2 Sc 3.11
Cd (0.5000, 0.0000, 0.7505)  8 Cd 3.10-3.19, 2 Zr 3.10, 2 Sc 3.11
Cd (0.5000, 0.5000, 0.0000)  8 Cd 3.10, 4 Zr 3.19
Cd (0.5000, 0.5000, 0.5000)  8 Cd 3.11, 4 Sc 3.19